1.
This record from the Alexandria database describes a relaxed structure of K4Sr2SnAs4. The functional is GGA-PBEsol.

extended XYZ file:
```
22
Lattice="5.203 -8.952 0.000 5.203 8.952 0.000 -0.484 0.000 7.596" Properties=species:S:1:pos:R:3 pbc="T T T"
K 4.961 7.651 3.798
K 5.155 4.213 2.645
K 6.051 1.320 0.509
K 7.997 2.635 4.095
K 5.810 -1.320 4.307
K 4.913 -4.213 6.444
K 5.203 -7.651 0.000
K 8.239 -2.635 0.297
Sr 2.949 0.419 2.675
Sr 2.707 -0.419 6.473
Sr 5.741 4.766 6.388
Sr 5.983 -4.766 2.590
Sn 2.724 2.964 5.552
Sn 2.966 -2.964 1.754
As 0.699 1.668 4.469
As 2.944 2.821 0.596
As 0.941 -1.668 0.671
As 4.922 1.670 4.901
As 2.702 -2.821 4.395
As 5.164 -1.670 1.103
As 8.290 3.527 0.920
As 8.048 -3.527 4.718
```

## Properties
energy of formation from the pure elements: -7.36 eV/f.u.
total DFT energy (no corrections): -3.66 eV/atom
calculated volume: 32.2 A^3/atom
distance to the lowest polymorph of the same formula: 11 kJ/mol of formula units

***

2.
This record from the Alexandria database describes a relaxed structure of LaBeSe2. The functional is GGA-PBEsol.

extended XYZ file:
```
12
Lattice="3.776 0.000 0.000 -1.888 3.270 0.000 0.000 0.000 20.193" Properties=species:S:1:pos:R:3 pbc="T T T"
La 0.000 0.000 0.000
La 0.000 2.180 13.462
La 1.888 1.090 6.731
Be 0.000 0.000 3.373
Be 0.000 2.180 16.835
Be 1.888 1.090 10.104
Se 0.000 0.000 11.308
Se 0.000 0.000 15.504
Se 0.000 2.180 4.577
Se 0.000 2.180 8.773
Se 1.888 1.090 2.042
Se 1.888 1.090 18.039
```

## Properties
D(E_F): 1.32 states/eV/f.u.
total DFT energy (no corrections): -5.27 eV/atom
calculated volume: 20.8 A^3/atom

***

3.
This record from the Alexandria database describes a relaxed structure of MnAl5. The functional is GGA-PBEsol.

extended XYZ file:
```
6
Lattice="4.664 0.000 0.000 -2.332 4.039 0.000 0.000 0.000 4.497" Properties=species:S:1:pos:R:3 pbc="T T T"
Mn 0.000 0.000 0.000
Al -1.596 2.765 2.249
Al 0.736 1.274 2.249
Al 0.000 2.693 0.000
Al 2.332 1.346 0.000
Al 3.192 0.000 2.249
```

## Properties
energy of formation from the pure elements: -0.63 eV/f.u.
D(E_F): 2.67 states/eV/f.u.
total DFT energy (no corrections): -5.14 eV/atom
calculated volume: 14.1 A^3/atom

***

4.
This record from the Alexandria database describes a relaxed structure of CaAsH3O5. The functional is GGA-PBEsol.

extended XYZ file:
```
80
Lattice="6.919 0.000 0.000 0.000 7.852 0.000 0.000 0.000 15.892" Properties=species:S:1:pos:R:3 pbc="T T T"
Ca 0.882 1.457 0.724
Ca 0.882 6.395 8.670
Ca 2.578 2.469 8.670
Ca 2.578 5.383 0.724
Ca 4.342 2.469 15.168
Ca 4.342 5.383 7.222
Ca 6.037 1.457 7.222
Ca 6.037 6.395 15.168
As 0.903 3.441 14.097
As 0.903 4.411 6.151
As 2.556 0.485 6.151
As 2.556 7.367 14.097
As 4.363 0.485 1.795
As 4.363 7.367 9.741
As 6.016 3.441 9.741
As 6.016 4.411 1.795
H 0.587 0.982 10.282
H 0.587 6.870 2.336
H 1.195 0.141 3.390
H 1.195 7.711 11.336
H 1.214 1.885 5.005
H 1.214 5.967 12.951
H 2.246 2.041 12.951
H 2.246 5.811 5.005
H 2.265 3.785 11.336
H 2.265 4.067 3.390
H 2.872 2.944 2.336
H 2.872 4.908 10.282
H 4.047 2.944 5.610
H 4.047 4.908 13.556
H 4.654 3.785 12.502
H 4.654 4.067 4.556
H 4.673 2.041 10.887
H 4.673 5.811 2.941
H 5.706 1.885 2.941
H 5.706 5.967 10.887
H 5.725 0.141 4.556
H 5.725 7.711 12.502
H 6.332 0.982 13.556
H 6.332 6.870 5.610
O 0.280 2.336 9.204
O 0.280 5.516 1.258
O 0.335 2.861 5.789
O 0.335 4.991 13.735
O 0.813 0.026 10.436
O 0.813 7.826 2.490
O 1.405 0.503 7.423
O 1.405 7.349 15.369
O 1.596 2.788 12.625
O 1.596 5.064 4.679
O 1.864 1.138 4.679
O 1.864 6.714 12.625
O 2.055 3.423 15.369
O 2.055 4.429 7.423
O 2.646 3.900 2.490
O 2.646 3.952 10.436
O 3.124 1.065 13.735
O 3.124 6.787 5.789
O 3.179 1.590 1.258
O 3.179 6.262 9.204
O 3.740 1.590 6.688
O 3.740 6.262 14.634
O 3.795 1.065 10.103
O 3.795 6.787 2.157
O 4.273 3.900 5.456
O 4.273 3.952 13.402
O 4.865 3.423 8.469
O 4.865 4.429 0.523
O 5.055 1.138 3.267
O 5.055 6.714 11.213
O 5.324 2.788 11.213
O 5.324 5.064 3.267
O 5.515 0.503 0.523
O 5.515 7.349 8.469
O 6.106 0.026 13.402
O 6.106 7.826 5.456
O 6.584 2.861 2.157
O 6.584 4.991 10.103
O 6.639 2.336 14.634
O 6.639 5.516 6.688
```

## Properties
D(E_F): 0.00 states/eV/f.u.
total DFT energy (no corrections): -5.96 eV/atom
calculated volume: 10.8 A^3/atom

***

5.
This record from the Alexandria database describes a relaxed structure of TiSiSb2Te. The functional is GGA-PBEsol.

extended XYZ file:
```
5
Lattice="5.206 0.000 0.000 0.000 5.206 0.000 0.000 0.000 5.108" Properties=species:S:1:pos:R:3 pbc="T T T"
Ti 0.000 0.000 0.000
Si 2.603 2.603 2.554
Sb 0.000 2.603 0.000
Sb 2.603 0.000 0.000
Te 0.000 0.000 2.554
```

## Properties
D(E_F): 4.48 states/eV/f.u.
total DFT energy (no corrections): -4.83 eV/atom
calculated volume: 27.7 A^3/atom
distance to the lowest polymorph of the same formula: 0 kJ/mol of formula units

***

6.
This record from the Alexandria database describes a relaxed structure of NaEuCu2F8. The functional is GGA-PBEsol.

extended XYZ file:
```
12
Lattice="-2.708 2.708 5.150 2.708 -2.708 5.150 2.708 2.708 -5.150" Properties=species:S:1:pos:R:3 pbc="T T T"
Na 0.000 0.000 0.000
Eu 0.000 0.000 5.150
Cu 2.708 0.000 2.575
Cu 0.000 2.708 2.575
F 3.635 0.979 -1.276
F 0.979 1.782 -1.276
F 1.782 0.979 1.276
F 1.729 -0.927 6.426
F 1.729 0.927 3.873
F -0.927 1.729 3.873
F 0.979 3.635 1.276
F 0.927 1.729 6.426
```

## Properties
D(E_F): 14.77 states/eV/f.u.
total DFT energy (no corrections): -5.45 eV/atom
calculated volume: 12.6 A^3/atom

***

7.
This record from the Alexandria database describes a relaxed structure of InHg2Cl. The functional is GGA-PBEsol.

extended XYZ file:
```
4
Lattice="4.352 0.000 0.000 0.000 4.025 0.000 -2.112 0.000 5.987" Properties=species:S:1:pos:R:3 pbc="T T T"
In 0.000 0.000 0.000
Hg -0.030 0.000 3.012
Hg 2.139 2.012 3.524
Cl 2.154 2.012 0.478
```

## Properties
D(E_F): 0.50 states/eV/f.u.
total DFT energy (no corrections): -1.86 eV/atom
calculated volume: 26.2 A^3/atom
distance to the lowest polymorph of the same formula: 0 kJ/mol of formula units

***

8.
This record from the Alexandria database describes a relaxed structure of ZrCu2Hg. The functional is GGA-PBEsol.

extended XYZ file:
```
4
Lattice="3.217 0.000 0.000 0.000 3.217 0.000 0.000 0.000 6.281" Properties=species:S:1:pos:R:3 pbc="T T T"
Zr 0.000 0.000 0.000
Cu 1.608 1.608 1.587
Cu 1.608 1.608 4.693
Hg 0.000 0.000 3.140
```

## Properties
energy of formation from the pure elements: -0.13 eV/f.u.
D(E_F): 3.21 states/eV/f.u.
total DFT energy (no corrections): -4.61 eV/atom
calculated volume: 16.2 A^3/atom

***

9.
This record from the Alexandria database describes a relaxed structure of LaY2Ni. The functional is GGA-PBEsol.

extended XYZ file:
```
8
Lattice="4.895 0.000 0.000 0.000 4.906 0.000 0.000 0.000 8.646" Properties=species:S:1:pos:R:3 pbc="T T T"
La 0.000 0.000 0.000
La 2.448 2.453 0.000
Y 0.000 0.000 3.254
Y 0.000 2.453 5.869
Y 2.448 0.000 5.869
Y 2.448 2.453 3.254
Ni 0.000 2.453 1.757
Ni 2.448 0.000 1.757
```

## Properties
energy of formation from the pure elements: -0.37 eV/f.u.
D(E_F): 5.70 states/eV/f.u.
total DFT energy (no corrections): -6.38 eV/atom
calculated volume: 26.0 A^3/atom
distance to the lowest polymorph of the same formula: 25 kJ/mol of formula units

***

10.
This record from the Alexandria database describes a relaxed structure of CsTlGa2Te. The functional is GGA-PBEsol.

extended XYZ file:
```
5
Lattice="5.709 0.000 0.000 0.000 5.709 0.000 0.000 0.000 6.352" Properties=species:S:1:pos:R:3 pbc="T T T"
Cs 0.000 0.000 0.000
Tl 2.855 2.855 0.000
Ga 0.000 2.855 3.176
Ga 2.855 0.000 3.176
Te 2.855 2.855 3.176
```

## Properties
D(E_F): 4.70 states/eV/f.u.
total DFT energy (no corrections): -2.48 eV/atom
calculated volume: 41.4 A^3/atom

***

11.
This record from the Alexandria database describes a relaxed structure of Al2TcPt. The functional is GGA-PBEsol.

extended XYZ file:
```
4
Lattice="4.529 0.000 0.000 0.000 2.752 0.000 -2.027 0.000 4.594" Properties=species:S:1:pos:R:3 pbc="T T T"
Al 0.000 0.000 0.000
Al -1.013 1.376 2.297
Tc 1.251 0.000 2.297
Pt 2.264 1.376 0.000
```

## Properties
energy of formation from the pure elements: -1.92 eV/f.u.
D(E_F): 2.51 states/eV/f.u.
total DFT energy (no corrections): -7.08 eV/atom
calculated volume: 14.3 A^3/atom

***

12.
This record from the Alexandria database describes a relaxed structure of ZnReBr2. The functional is GGA-PBEsol.

extended XYZ file:
```
8
Lattice="3.088 0.000 0.000 0.000 4.247 0.000 0.000 0.000 13.629" Properties=species:S:1:pos:R:3 pbc="T T T"
Zn 0.000 0.000 0.000
Zn 1.544 2.123 6.814
Re 0.000 0.000 6.814
Re 1.544 2.123 0.000
Br 0.000 2.123 2.053
Br 0.000 2.123 11.576
Br 1.544 0.000 4.762
Br 1.544 0.000 8.867
```

## Properties
D(E_F): 3.41 states/eV/f.u.
total DFT energy (no corrections): -4.34 eV/atom
calculated volume: 22.3 A^3/atom
distance to the lowest polymorph of the same formula: 0 kJ/mol of formula units

***

13.
This record from the Alexandria database describes a relaxed structure of CaH4Cl2O2. The functional is GGA-PBEsol.

extended XYZ file:
```
36
Lattice="5.911 0.000 0.000 0.000 7.306 0.000 0.000 0.000 11.975" Properties=species:S:1:pos:R:3 pbc="T T T"
Ca 0.000 1.490 2.994
Ca 0.000 5.816 8.982
Ca 2.955 2.163 8.982
Ca 2.955 5.143 2.994
H 0.484 1.754 7.407
H 0.484 5.552 1.419
H 1.421 2.598 6.433
H 1.421 4.708 0.445
H 1.535 1.055 0.445
H 1.535 6.251 6.433
H 2.471 1.899 1.419
H 2.471 5.407 7.407
H 3.440 1.899 4.568
H 3.440 5.407 10.556
H 4.376 1.055 5.542
H 4.376 6.251 11.530
H 4.490 2.598 11.530
H 4.490 4.708 5.542
H 5.426 1.754 10.556
H 5.426 5.552 4.568
Cl 1.243 0.540 10.381
Cl 1.243 6.766 4.393
Cl 1.712 3.113 4.393
Cl 1.712 4.193 10.381
Cl 4.198 3.113 1.594
Cl 4.198 4.193 7.582
Cl 4.667 0.540 7.582
Cl 4.667 6.766 1.594
O 1.348 2.241 7.355
O 1.348 5.065 1.367
O 1.607 1.412 1.367
O 1.607 5.894 7.355
O 4.304 1.412 4.620
O 4.304 5.894 10.608
O 4.562 2.241 10.608
O 4.562 5.065 4.620
```

## Properties
D(E_F): 0.00 states/eV/f.u.
total DFT energy (no corrections): -4.83 eV/atom
calculated volume: 14.4 A^3/atom

***

14.
This record from the Alexandria database describes a relaxed structure of Te2MoRhI. The functional is GGA-PBEsol.

extended XYZ file:
```
5
Lattice="5.104 0.000 0.000 0.000 5.104 0.000 0.000 0.000 5.447" Properties=species:S:1:pos:R:3 pbc="T T T"
Te 0.000 2.552 0.000
Te 2.552 0.000 0.000
Mo 0.000 0.000 0.000
Rh 2.552 2.552 2.724
I 0.000 0.000 2.724
```

## Properties
D(E_F): 6.52 states/eV/f.u.
total DFT energy (no corrections): -4.61 eV/atom
calculated volume: 28.4 A^3/atom

***

15.
This record from the Alexandria database describes a relaxed structure of ScB2AsC. The functional is GGA-PBEsol.

extended XYZ file:
```
5
Lattice="4.333 0.000 0.000 0.000 4.333 0.000 0.000 0.000 4.088" Properties=species:S:1:pos:R:3 pbc="T T T"
Sc 0.000 0.000 0.000
B 0.000 2.167 0.000
B 2.167 0.000 0.000
As 2.167 2.167 2.044
C 0.000 0.000 2.044
```

## Properties
energy of formation from the pure elements: 11.11 eV/f.u.
D(E_F): 3.08 states/eV/f.u.
total DFT energy (no corrections): -4.86 eV/atom
calculated volume: 15.3 A^3/atom

***

16.
This record from the Alexandria database describes a relaxed structure of NaGaCl4. The functional is GGA-PBEsol.

extended XYZ file:
```
24
Lattice="6.150 0.000 0.000 0.000 9.739 0.000 0.000 0.000 10.232" Properties=species:S:1:pos:R:3 pbc="T T T"
Na 0.393 0.342 3.801
Na 2.683 9.397 8.916
Na 3.468 4.528 6.431
Na 5.758 5.211 1.315
Ga 0.215 7.168 7.313
Ga 2.860 2.571 2.197
Ga 3.290 7.440 2.918
Ga 5.936 2.299 8.034
Cl 0.834 5.444 6.130
Cl 1.063 7.093 9.326
Cl 1.088 8.981 6.429
Cl 1.107 7.379 2.899
Cl 1.968 2.360 8.015
Cl 1.987 0.758 1.313
Cl 2.013 2.646 4.210
Cl 2.242 4.295 1.014
Cl 3.909 9.165 4.102
Cl 4.138 7.515 0.906
Cl 4.163 5.627 3.803
Cl 4.182 7.229 7.333
Cl 5.044 2.509 2.217
Cl 5.063 4.111 8.919
Cl 5.088 2.223 6.022
Cl 5.317 0.574 9.218
```

## Properties
D(E_F): 0.00 states/eV/f.u.
total DFT energy (no corrections): -3.50 eV/atom
calculated volume: 25.5 A^3/atom

***

17.
This record from the Alexandria database describes a relaxed structure of TaTi2Ga2. The functional is GGA-PBEsol.

extended XYZ file:
```
10
Lattice="6.959 0.000 0.000 0.000 6.959 0.000 0.000 0.000 3.270" Properties=species:S:1:pos:R:3 pbc="T T T"
Ta 0.000 0.000 0.000
Ta 3.479 3.479 0.000
Ti 1.229 2.251 1.635
Ti 2.251 5.730 1.635
Ti 4.708 1.229 1.635
Ti 5.730 4.708 1.635
Ga 0.871 4.351 0.000
Ga 2.608 0.871 0.000
Ga 4.351 6.087 0.000
Ga 6.087 2.608 0.000
```

## Properties
energy of formation from the pure elements: -2.01 eV/f.u.
D(E_F): 5.17 states/eV/f.u.
total DFT energy (no corrections): -7.58 eV/atom
calculated volume: 15.8 A^3/atom

***

18.
This record from the Alexandria database describes a relaxed structure of Ni2OsSe. The functional is GGA-PBEsol.

extended XYZ file:
```
4
Lattice="2.683 0.000 0.000 0.000 2.683 0.000 0.000 0.000 7.216" Properties=species:S:1:pos:R:3 pbc="T T T"
Ni 0.000 0.000 1.740
Ni 0.000 0.000 5.476
Os 1.342 1.342 0.000
Se 1.342 1.342 3.608
```

## Properties
D(E_F): 3.09 states/eV/f.u.
total DFT energy (no corrections): -6.83 eV/atom
calculated volume: 13.0 A^3/atom

***

19.
This record from the Alexandria database describes a relaxed structure of Mg2ReSb. The functional is GGA-PBEsol.

extended XYZ file:
```
8
Lattice="3.980 0.000 0.000 0.000 3.980 0.000 0.000 0.000 9.043" Properties=species:S:1:pos:R:3 pbc="T T T"
Mg 0.000 1.990 2.261
Mg 0.000 1.990 6.783
Mg 1.990 0.000 2.261
Mg 1.990 0.000 6.783
Re 0.000 0.000 0.000
Re 1.990 1.990 4.522
Sb 0.000 0.000 4.522
Sb 1.990 1.990 0.000
```

## Properties
D(E_F): 2.95 states/eV/f.u.
total DFT energy (no corrections): -5.02 eV/atom
calculated volume: 17.9 A^3/atom

***

20.
This record from the Alexandria database describes a relaxed structure of CaReTc2. The functional is GGA-PBEsol.

extended XYZ file:
```
4
Lattice="4.523 0.000 0.000 0.000 4.523 0.000 0.000 0.000 3.068" Properties=species:S:1:pos:R:3 pbc="T T T"
Ca 0.000 0.000 0.000
Re 2.261 2.261 0.000
Tc 0.000 2.261 1.534
Tc 2.261 0.000 1.534
```

## Properties
energy of formation from the pure elements: 2.50 eV/f.u.
D(E_F): 4.19 states/eV/f.u.
total DFT energy (no corrections): -8.87 eV/atom
calculated volume: 15.7 A^3/atom